Entry 1:
# Pm3SmAs4 (PBE-GGA, optimized geometry)
data_Pm3SmAs4
_chemical_formula_sum 'Pm6 Sm2 As8'
_cell_length_a 8.465
_cell_length_b 11.968
_cell_length_c 4.235
_cell_angle_alpha 90.00
_cell_angle_beta 90.00
_cell_angle_gamma 90.00
_symmetry_space_group_name_H-M 'P 1'
_symmetry_Int_Tables_number 1
loop_
_symmetry_equiv_pos_as_xyz
'x,y,z'
loop_
_atom_site_label
_atom_site_type_symbol
_atom_site_fract_x
_atom_site_fract_y
_atom_site_fract_z
Pm1 Pm 0.000 0.000 0.000
Pm2 Pm 0.250 0.250 0.500
Pm3 Pm 0.250 0.750 0.500
Pm4 Pm 0.500 0.500 0.000
Pm5 Pm 0.750 0.250 0.500
Pm6 Pm 0.750 0.750 0.500
Sm1 Sm 0.000 0.500 0.000
Sm2 Sm 0.500 0.000 0.000
As1 As 0.000 0.251 0.000
As2 As 0.000 0.749 0.000
As3 As 0.249 0.500 0.500
As4 As 0.251 0.000 0.500
As5 As 0.500 0.249 0.000
As6 As 0.500 0.751 0.000
As7 As 0.749 0.000 0.500
As8 As 0.751 0.500 0.500
# density = 6.85 g/cm3
# relative energy among the computed polymorphs = 0.3 kJ/mol of atoms

Entry 2:
# PmSm2As (PBE-GGA, optimized geometry)
data_PmSm2As
_chemical_formula_sum 'Pm3 Sm6 As3'
_cell_length_a 3.939
_cell_length_b 3.939
_cell_length_c 28.789
_cell_angle_alpha 90.00
_cell_angle_beta 90.00
_cell_angle_gamma 120.00
_symmetry_space_group_name_H-M 'P 1'
_symmetry_Int_Tables_number 1
loop_
_symmetry_equiv_pos_as_xyz
'x,y,z'
loop_
_atom_site_label
_atom_site_type_symbol
_atom_site_fract_x
_atom_site_fract_y
_atom_site_fract_z
Pm1 Pm 0.000 0.000 0.000
Pm2 Pm 0.333 0.667 0.667
Pm3 Pm 0.667 0.333 0.333
Sm1 Sm 0.000 0.000 0.228
Sm2 Sm 0.000 0.000 0.772
Sm3 Sm 0.333 0.667 0.438
Sm4 Sm 0.333 0.667 0.895
Sm5 Sm 0.667 0.333 0.105
Sm6 Sm 0.667 0.333 0.562
As1 As 0.000 0.000 0.500
As2 As 0.333 0.667 0.167
As3 As 0.667 0.333 0.833
# density = 6.70 g/cm3

Entry 3:
# PmSm5As6 (PBE-GGA, optimized geometry)
data_PmSm5As6
_chemical_formula_sum 'Pm1 Sm5 As6'
_cell_length_a 7.307
_cell_length_b 7.307
_cell_length_c 7.307
_cell_angle_alpha 99.60
_cell_angle_beta 99.60
_cell_angle_gamma 119.98
_symmetry_space_group_name_H-M 'P 1'
_symmetry_Int_Tables_number 1
loop_
_symmetry_equiv_pos_as_xyz
'x,y,z'
loop_
_atom_site_label
_atom_site_type_symbol
_atom_site_fract_x
_atom_site_fract_y
_atom_site_fract_z
Pm1 Pm 0.000 0.000 0.000
Sm1 Sm 0.166 0.834 0.500
Sm2 Sm 0.333 0.667 0.000
Sm3 Sm 0.500 0.500 0.500
Sm4 Sm 0.667 0.333 0.000
Sm5 Sm 0.834 0.166 0.500
As1 As 0.083 0.418 0.251
As2 As 0.251 0.251 0.750
As3 As 0.418 0.083 0.251
As4 As 0.582 0.917 0.749
As5 As 0.749 0.749 0.250
As6 As 0.917 0.582 0.749
# density = 7.02 g/cm3

Entry 4:
# Pm2SmAs3 (PBE-GGA, optimized geometry)
data_Pm2SmAs3
_chemical_formula_sum 'Pm4 Sm2 As6'
_cell_length_a 4.235
_cell_length_b 5.979
_cell_length_c 12.690
_cell_angle_alpha 90.00
_cell_angle_beta 90.00
_cell_angle_gamma 90.00
_symmetry_space_group_name_H-M 'P 1'
_symmetry_Int_Tables_number 1
loop_
_symmetry_equiv_pos_as_xyz
'x,y,z'
loop_
_atom_site_label
_atom_site_type_symbol
_atom_site_fract_x
_atom_site_fract_y
_atom_site_fract_z
Pm1 Pm 0.000 0.000 0.167
Pm2 Pm 0.000 0.000 0.833
Pm3 Pm 0.500 0.500 0.333
Pm4 Pm 0.500 0.500 0.667
Sm1 Sm 0.000 0.000 0.500
Sm2 Sm 0.500 0.500 0.000
As1 As 0.000 0.500 0.166
As2 As 0.000 0.500 0.500
As3 As 0.000 0.500 0.834
As4 As 0.500 0.000 0.000
As5 As 0.500 0.000 0.334
As6 As 0.500 0.000 0.666
# density = 6.87 g/cm3

Entry 5:
# SrPm2SmAs4 (PBE-GGA, optimized geometry)
data_SrPm2SmAs4
_chemical_formula_sum 'Sr1 Pm2 Sm1 As4'
_cell_length_a 7.434
_cell_length_b 4.273
_cell_length_c 7.441
_cell_angle_alpha 90.00
_cell_angle_beta 109.37
_cell_angle_gamma 90.00
_symmetry_space_group_name_H-M 'P 1'
_symmetry_Int_Tables_number 1
loop_
_symmetry_equiv_pos_as_xyz
'x,y,z'
loop_
_atom_site_label
_atom_site_type_symbol
_atom_site_fract_x
_atom_site_fract_y
_atom_site_fract_z
Sr1 Sr 0.000 0.000 0.000
Pm1 Pm 0.500 0.000 0.500
Pm2 Pm 0.500 0.500 0.000
Sm1 Sm 0.000 0.500 0.500
As1 As 0.254 0.000 0.744
As2 As 0.261 0.500 0.262
As3 As 0.739 0.500 0.738
As4 As 0.746 0.000 0.256
# density = 6.16 g/cm3

Entry 6:
# Tb2Pm3SmAs6 (PBE-GGA, optimized geometry)
data_Tb2Pm3SmAs6
_chemical_formula_sum 'Tb2 Pm3 Sm1 As6'
_cell_length_a 9.393
_cell_length_b 9.393
_cell_length_c 8.401
_cell_angle_alpha 102.91
_cell_angle_beta 102.91
_cell_angle_gamma 25.86
_symmetry_space_group_name_H-M 'P 1'
_symmetry_Int_Tables_number 1
loop_
_symmetry_equiv_pos_as_xyz
'x,y,z'
loop_
_atom_site_label
_atom_site_type_symbol
_atom_site_fract_x
_atom_site_fract_y
_atom_site_fract_z
Tb1 Tb 0.167 0.167 0.334
Tb2 Tb 0.833 0.833 0.666
Pm1 Pm 0.167 0.167 0.833
Pm2 Pm 0.500 0.500 0.500
Pm3 Pm 0.833 0.833 0.167
Sm1 Sm 0.500 0.500 0.000
As1 As 0.002 0.002 0.250
As2 As 0.332 0.332 0.420
As3 As 0.333 0.333 0.913
As4 As 0.667 0.667 0.087
As5 As 0.668 0.668 0.580
As6 As 0.998 0.998 0.750
# density = 7.14 g/cm3

Entry 7:
# Tb2PmSm3As6 (PBE-GGA, optimized geometry)
data_Tb2PmSm3As6
_chemical_formula_sum 'Tb2 Pm1 Sm3 As6'
_cell_length_a 9.376
_cell_length_b 9.376
_cell_length_c 8.385
_cell_angle_alpha 102.92
_cell_angle_beta 102.92
_cell_angle_gamma 25.86
_symmetry_space_group_name_H-M 'P 1'
_symmetry_Int_Tables_number 1
loop_
_symmetry_equiv_pos_as_xyz
'x,y,z'
loop_
_atom_site_label
_atom_site_type_symbol
_atom_site_fract_x
_atom_site_fract_y
_atom_site_fract_z
Tb1 Tb 0.167 0.167 0.334
Tb2 Tb 0.833 0.833 0.666
Pm1 Pm 0.500 0.500 0.000
Sm1 Sm 0.166 0.166 0.833
Sm2 Sm 0.500 0.500 0.500
Sm3 Sm 0.834 0.834 0.167
As1 As 0.001 0.001 0.252
As2 As 0.332 0.332 0.419
As3 As 0.333 0.333 0.913
As4 As 0.667 0.667 0.087
As5 As 0.668 0.668 0.581
As6 As 0.999 0.999 0.748
# density = 7.24 g/cm3

Entry 8:
# TbPmSm2As4 (PBE-GGA, optimized geometry)
data_TbPmSm2As4
_chemical_formula_sum 'Tb1 Pm1 Sm2 As4'
_cell_length_a 7.276
_cell_length_b 4.205
_cell_length_c 7.277
_cell_angle_alpha 90.00
_cell_angle_beta 109.46
_cell_angle_gamma 90.00
_symmetry_space_group_name_H-M 'P 1'
_symmetry_Int_Tables_number 1
loop_
_symmetry_equiv_pos_as_xyz
'x,y,z'
loop_
_atom_site_label
_atom_site_type_symbol
_atom_site_fract_x
_atom_site_fract_y
_atom_site_fract_z
Tb1 Tb 0.000 0.000 0.000
Pm1 Pm 0.500 0.500 0.000
Sm1 Sm 0.000 0.500 0.500
Sm2 Sm 0.500 0.000 0.500
As1 As 0.247 0.000 0.751
As2 As 0.247 0.500 0.247
As3 As 0.753 0.000 0.249
As4 As 0.753 0.500 0.753
# density = 7.15 g/cm3

Number 1: final energy -6.22 eV/atom, magnetic moment 0.00 μB/f.u., ΔH_f (0 K) -1.53 eV/atom. Number 2: final energy -5.31 eV/atom, magnetic moment 0.00 μB/f.u., ΔH_f (0 K) -0.60 eV/atom. Number 3: final energy -6.22 eV/atom, magnetic moment 0.00 μB/f.u., ΔH_f (0 K) -1.53 eV/atom. Number 4: final energy -6.22 eV/atom, magnetic moment 0.00 μB/f.u., ΔH_f (0 K) -1.53 eV/atom. Number 5: final energy -5.66 eV/atom, magnetic moment 0.00 μB/f.u., ΔH_f (0 K) -1.35 eV/atom. Number 6: final energy -6.21 eV/atom, magnetic moment 0.00 μB/f.u., ΔH_f (0 K) -1.53 eV/atom. Number 7: final energy -6.20 eV/atom, magnetic moment 0.00 μB/f.u., ΔH_f (0 K) -1.53 eV/atom. Number 8: final energy -6.21 eV/atom, magnetic moment 0.00 μB/f.u., ΔH_f (0 K) -1.53 eV/atom.